First-principles (GGA-PBE) data for a relaxed NdNi2SnP crystal, as listed in OQMD via LeMat-Bulk.

Structure (POSCAR):
```
NdNi2SnP
1.0
-2.323 0.344 -3.396
-3.407 -0.494 2.280
-0.528 9.970 1.371
Ni P Sn Nd
4 2 2 2
direct
0.000 0.000 0.500 Ni
0.500 0.000 0.161 Ni
0.000 0.500 0.839 Ni
0.500 0.500 0.500 Ni
0.000 0.500 0.618 P
0.500 0.000 0.382 P
0.000 0.000 0.000 Sn
0.500 0.500 0.000 Sn
0.500 0.000 0.721 Nd
0.000 0.500 0.279 Nd
```

Properties
Crystal system = tetragonal
VASP energy = -5.8542 eV/atom
ρ = 7.951 g/cm3
Space group = P4/nmm


First-principles (GGA-PBE) data for a relaxed Ba3ReN4 crystal, as listed in OQMD via LeMat-Bulk.

Structure (POSCAR):
```
Ba3ReN4
1.0
8.139 0.000 0.000
0.000 7.486 0.000
0.000 0.000 6.004
Ba N Re
6 8 2
direct
0.000 0.374 0.527 Ba
0.759 0.155 0.035 Ba
0.500 0.626 0.027 Ba
0.241 0.155 0.035 Ba
0.741 0.845 0.535 Ba
0.259 0.845 0.535 Ba
0.311 0.218 0.593 N
0.189 0.782 0.093 N
0.811 0.782 0.093 N
0.500 0.575 0.551 N
0.000 0.690 0.689 N
0.500 0.310 0.189 N
0.689 0.218 0.593 N
0.000 0.425 0.051 N
0.000 0.670 0.994 Re
0.500 0.330 0.494 Re
```

Properties
Crystal system = orthorhombic
VASP energy = -7.0767 eV/atom
ρ = 5.940 g/cm3
Space group = Pmn2_1